! TiV2HgO8 | Alexandria | GGA+U | relaxed; values from VASP
&SYSTEM
  ibrav = 0, nat = 12, ntyp = 4
/
ATOMIC_SPECIES
V 50.94 V.upf
O 16.00 O.upf
Ti 47.87 Ti.upf
Hg 200.59 Hg.upf
CELL_PARAMETERS angstrom
5.677 0.000 0.000
-2.839 4.917 0.000
0.000 0.000 6.179
ATOMIC_POSITIONS crystal
V 0.333 0.667 0.722
V 0.667 0.333 0.278
O 0.159 0.841 0.808
O 0.667 0.333 0.543
O 0.841 0.681 0.192
O 0.319 0.159 0.192
O 0.159 0.319 0.808
O 0.333 0.667 0.457
O 0.681 0.841 0.808
O 0.841 0.159 0.192
Ti 0.000 0.000 0.000
Hg 0.000 0.000 0.500
! E_tot, eV/f.u.: -84.44